(1)
Density functional theory data (GGA-PBE) for a relaxed PtPbCl2 crystal.

The structure belongs to space group Cmm2 (No. 35); the cell edges are 4.355, 6.461 and 7.843 Å and the angles 90.00°, 90.00° and 90.00°. The asymmetric unit holds Pt at (0.000, 0.000, 0.000), Pb at (0.000, 0.500, 0.267), Cl at (0.000, 0.000, 0.500) and Cl at (0.000, 0.500, 0.893).

The value obtained for the density of states at the Fermi level is 0.09 states/eV per atom. The calculation puts the total magnetization at 0.0 μB per cell. The value obtained for the energy above the most stable polymorph in this dataset is 0.177 eV per atom.

(2)
Density functional theory data (GGA-PBE) for a relaxed PtPb2Cl crystal.

The structure belongs to space group I-42d (No. 122); the cell edges are 6.406, 6.406 and 13.772 Å and the angles 90.00°, 90.00° and 90.00°. The asymmetric unit holds Pt at (0.000, 0.000, 0.000), Pb at (0.205, 0.250, 0.125) and Cl at (0.000, 0.000, 0.500).

The value obtained for the density of states at the Fermi level is 0.47 states/eV per atom. The calculation puts the total magnetization at 0.0 μB per cell. The value obtained for the energy above the most stable polymorph in this dataset is 0.237 eV per atom.

These records have energy relative to the elements, uncorrected values of -196 -229 meV/atom, in the order they appear.